# 1
A geometry-optimized TbCu2Se3 structure, computed with PBE.

```
data_TbCu2Se3
_chemical_formula_sum 'Tb2 Cu4 Se6'
_cell_length_a 4.852
_cell_length_b 7.566
_cell_length_c 7.566
_cell_angle_alpha 111.27
_cell_angle_beta 90.00
_cell_angle_gamma 90.00
_symmetry_space_group_name_H-M 'P 1'
_symmetry_Int_Tables_number 1
_symmetry_space_group_name_Hall 'P 1'
loop_
_atom_site_label
_atom_site_fract_x
_atom_site_fract_y
_atom_site_fract_z
_atom_site_occupancy
Cu1 0.000 0.803 0.803 1
Cu2 0.000 0.197 0.197 1
Cu3 0.500 0.803 0.803 1
Cu4 0.500 0.197 0.197 1
Tb1 0.250 0.263 0.737 1
Tb2 0.750 0.737 0.263 1
Se1 0.750 0.156 0.457 1
Se2 0.250 0.885 0.115 1
Se3 0.250 0.844 0.543 1
Se4 0.750 0.115 0.885 1
Se5 0.250 0.457 0.156 1
Se6 0.750 0.543 0.844 1
```

Calculated values
Uncorrected formation energy = -718 meV/atom


# 2
A geometry-optimized Tb3CuSe6 structure, computed with PBE.

```
data_Tb3CuSe6
_chemical_formula_sum 'Tb12 Cu4 Se24'
_cell_length_a 7.799
_cell_length_b 7.143
_cell_length_c 16.967
_cell_angle_alpha 89.68
_cell_angle_beta 90.00
_cell_angle_gamma 90.00
_symmetry_space_group_name_H-M 'P 1'
_symmetry_Int_Tables_number 1
_symmetry_space_group_name_Hall 'P 1'
loop_
_atom_site_label
_atom_site_fract_x
_atom_site_fract_y
_atom_site_fract_z
_atom_site_occupancy
Cu1 0.796 0.607 0.471 1
Cu2 0.704 0.607 0.971 1
Cu3 0.296 0.393 0.029 1
Cu4 0.204 0.393 0.529 1
Se1 0.248 0.075 0.177 1
Se2 0.593 0.393 0.083 1
Se3 0.750 0.928 0.174 1
Se4 0.748 0.925 0.323 1
Se5 0.902 0.382 0.248 1
Se6 0.402 0.618 0.252 1
Se7 0.904 0.385 0.919 1
Se8 0.249 0.066 0.999 1
Se9 0.596 0.385 0.419 1
Se10 0.252 0.075 0.677 1
Se11 0.250 0.072 0.826 1
Se12 0.750 0.928 0.674 1
Se13 0.404 0.615 0.581 1
Se14 0.250 0.072 0.326 1
Se15 0.093 0.607 0.417 1
Se16 0.751 0.934 0.001 1
Se17 0.752 0.925 0.823 1
Se18 0.749 0.934 0.501 1
Se19 0.098 0.618 0.752 1
Se20 0.251 0.066 0.499 1
Se21 0.407 0.607 0.917 1
Se22 0.907 0.393 0.583 1
Se23 0.598 0.382 0.748 1
Se24 0.096 0.615 0.081 1
Tb1 0.558 0.232 0.908 1
Tb2 0.443 0.759 0.413 1
Tb3 0.941 0.263 0.751 1
Tb4 0.058 0.768 0.592 1
Tb5 0.057 0.759 0.913 1
Tb6 0.557 0.241 0.587 1
Tb7 0.943 0.241 0.087 1
Tb8 0.442 0.768 0.092 1
Tb9 0.942 0.232 0.408 1
Tb10 0.059 0.737 0.249 1
Tb11 0.559 0.263 0.251 1
Tb12 0.441 0.737 0.749 1
```

Calculated values
Uncorrected formation energy = -1450 meV/atom
Offset from the most stable computed form = 0.000 eV per atom


# 3
A geometry-optimized TbCuSe2 structure, computed with PBE.

```
data_TbCuSe2
_chemical_formula_sum 'Tb1 Cu1 Se2'
_cell_length_a 4.287
_cell_length_b 4.287
_cell_length_c 7.909
_cell_angle_alpha 74.28
_cell_angle_beta 74.28
_cell_angle_gamma 60.00
_symmetry_space_group_name_H-M 'P 1'
_symmetry_Int_Tables_number 1
_symmetry_space_group_name_Hall 'P 1'
loop_
_atom_site_label
_atom_site_fract_x
_atom_site_fract_y
_atom_site_fract_z
_atom_site_occupancy
Se1 0.900 0.900 0.301 1
Se2 0.100 0.100 0.699 1
Tb1 0.500 0.500 0.500 1
Cu1 0.000 0.000 0.000 1
```

Calculated values
Uncorrected formation energy = -1119 meV/atom


# 4
A geometry-optimized TbCuTeSe structure, computed with PBE.

```
data_TbCuTeSe
_chemical_formula_sum 'Tb2 Cu2 Te2 Se2'
_cell_length_a 4.210
_cell_length_b 4.210
_cell_length_c 14.445
_cell_angle_alpha 81.62
_cell_angle_beta 81.62
_cell_angle_gamma 60.00
_symmetry_space_group_name_H-M 'P 1'
_symmetry_Int_Tables_number 1
_symmetry_space_group_name_Hall 'P 1'
loop_
_atom_site_label
_atom_site_fract_x
_atom_site_fract_y
_atom_site_fract_z
_atom_site_occupancy
Tb1 0.419 0.419 0.742 1
Tb2 0.581 0.581 0.258 1
Cu1 0.811 0.811 0.567 1
Cu2 0.189 0.189 0.433 1
Te1 0.287 0.287 0.138 1
Te2 0.713 0.713 0.862 1
Se1 0.871 0.871 0.388 1
Se2 0.129 0.129 0.612 1
```

Calculated values
Uncorrected formation energy = -944 meV/atom


# 5
A geometry-optimized Tb4CuTe2Se structure, computed with PBE.

```
data_Tb4CuTe2Se
_chemical_formula_sum 'Tb4 Cu1 Te2 Se1'
_cell_length_a 4.113
_cell_length_b 7.404
_cell_length_c 7.451
_cell_angle_alpha 108.28
_cell_angle_beta 90.00
_cell_angle_gamma 90.00
_symmetry_space_group_name_H-M 'P 1'
_symmetry_Int_Tables_number 1
_symmetry_space_group_name_Hall 'P 1'
loop_
_atom_site_label
_atom_site_fract_x
_atom_site_fract_y
_atom_site_fract_z
_atom_site_occupancy
Te1 0.500 0.000 0.500 1
Te2 0.000 0.500 0.500 1
Cu1 0.500 0.500 0.000 1
Se1 0.000 0.000 0.000 1
Tb1 0.000 0.271 0.782 1
Tb2 0.500 0.753 0.775 1
Tb3 0.500 0.247 0.225 1
Tb4 0.000 0.729 0.218 1
```

Calculated values
Uncorrected formation energy = -1166 meV/atom


# 6
A geometry-optimized TbTlCuSe3 structure, computed with PBE.

```
data_TbTlCuSe3
_chemical_formula_sum 'Tb2 Tl2 Cu2 Se6'
_cell_length_a 4.848
_cell_length_b 8.205
_cell_length_c 8.581
_cell_angle_alpha 101.10
_cell_angle_beta 90.00
_cell_angle_gamma 107.18
_symmetry_space_group_name_H-M 'P 1'
_symmetry_Int_Tables_number 1
_symmetry_space_group_name_Hall 'P 1'
loop_
_atom_site_label
_atom_site_fract_x
_atom_site_fract_y
_atom_site_fract_z
_atom_site_occupancy
Se1 0.497 0.994 0.718 1
Se2 0.856 0.712 0.238 1
Se3 0.503 0.006 0.282 1
Se4 0.170 0.339 0.343 1
Se5 0.144 0.288 0.762 1
Se6 0.830 0.661 0.657 1
Cu1 0.988 0.976 0.700 1
Cu2 0.012 0.024 0.300 1
Tl1 0.650 0.301 0.053 1
Tl2 0.350 0.699 0.947 1
Tb1 0.644 0.288 0.556 1
Tb2 0.356 0.712 0.444 1
```

Calculated values
Uncorrected formation energy = -866 meV/atom


| no. | mass density (g/cm³) |
| --- | --- |
| 1 | 6.71 |
| 2 | 7.13 |
| 3 | 5.28 |
| 4 | 6.52 |
| 5 | 7.97 |
| 6 | 6.90 |